A plane-wave DFT calculation with GGA-PBEsol was carried out for an optimized crystal structure of KTeSe2.

Summary:
Volume, Å³/cell: 124.15
Electronic total energy, hartree per atom: -0.131

a = 4.359 Å, b = 4.804 Å, c = 6.060 Å
α = 90.00°, β = 101.98°, γ = 90.00°
Sites, in units of the cell vectors:
K 0.247 0.500 0.897
Te 0.633 0.000 0.416
Se 0.733 0.000 0.836
Se 0.887 0.500 0.351

A plane-wave DFT calculation with GGA-PBEsol was carried out for an optimized crystal structure of KTi2Se.

Summary:
Volume, Å³/cell: 198.43
Electronic total energy, hartree per atom: -0.190

a = 4.582 Å, b = 4.582 Å, c = 9.991 Å
α = 103.26°, β = 103.26°, γ = 90.00°
Sites, in units of the cell vectors:
K 0.500 0.500 0.000
K 0.750 0.250 0.500
Se 0.000 0.000 0.000
Se 0.250 0.750 0.500
Ti 0.625 0.875 0.750
Ti 0.125 0.875 0.750
Ti 0.125 0.875 0.250
Ti 0.125 0.375 0.250